VASP calculation (PBE-GGA) on an optimized crystal structure of Mg2HgPd8.

Energy relative to the lowest polymorph listed for this composition (meV per atom): 76
Density of states at the Fermi level (states/eV/cell): 15.7
Energy of formation (eV per atom): -0.298

Lattice parameters (Å, degrees): 4.2809 6.8513 12.3896 90.00 90.00 90.00
Space group Immm (No. 71)
Symmetry-distinct sites (fractional):
Mg  0.0000  0.0000  0.1978
Hg  0.0000  0.0000  0.5000
Pd  0.0000  0.1990  0.0000
Pd  0.0000  0.2866  0.3453
Pd  0.0000  0.5000  0.1553